DFT (PBE-GGA) results for a geometry-optimized KNdHgSe3 structure.

Final energy ... -94.546 eV for the cell shown

Cell lengths 12.0718, 4.4184, 13.3533 Å; angles 90.00, 90.00, 90.00 degrees
Closest atoms and distances in Å follow each position.
Positions (direct):
K 0.1727 0.2500 0.0035  5 Se 3.32-3.48, 2 Hg 3.60
K 0.3273 0.7500 0.5035  5 Se 3.32-3.48, 2 Hg 3.60
K 0.6727 0.2500 0.4965  5 Se 3.32-3.48, 2 Hg 3.60
K 0.8273 0.7500 0.9965  5 Se 3.32-3.48, 2 Hg 3.60
Nd 0.0265 0.2500 0.3163  5 Se 2.97-3.02
Nd 0.4735 0.7500 0.8163  5 Se 2.97-3.02
Nd 0.5265 0.2500 0.1837  5 Se 2.97-3.02
Nd 0.9735 0.7500 0.6837  5 Se 2.97-3.02
Hg 0.2474 0.2500 0.7038  4 Se 2.65-2.75
Hg 0.2526 0.7500 0.2038  4 Se 2.65-2.75
Hg 0.7474 0.2500 0.7962  4 Se 2.65-2.75
Hg 0.7526 0.7500 0.2962  4 Se 2.65-2.75
Se 0.0365 0.7500 0.1626  1 Hg 2.67
Se 0.0873 0.2500 0.5682  1 Hg 2.65
Se 0.2278 0.7500 0.8249  2 Hg 2.75, 1 Nd 2.97
Se 0.2722 0.2500 0.3249  2 Hg 2.75, 1 Nd 2.97
Se 0.4127 0.7500 0.0682  1 Hg 2.65
Se 0.4635 0.2500 0.6626  1 Hg 2.67
Se 0.5365 0.7500 0.3374  1 Hg 2.67
Se 0.5873 0.2500 0.9318  1 Hg 2.65
Se 0.7278 0.7500 0.6751  2 Hg 2.75, 1 Nd 2.97
Se 0.7722 0.2500 0.1751  2 Hg 2.75, 1 Nd 2.97
Se 0.9127 0.7500 0.4318  1 Hg 2.65
Se 0.9635 0.2500 0.8374  1 Hg 2.67